1.
First-principles (PBE) data for an optimized crystal structure of V2HgN, as listed in Alexandria. Values from VASP.

Structure (Quantum ESPRESSO input):
```
&SYSTEM
  ibrav = 0, nat = 12, ntyp = 3
/
ATOMIC_SPECIES
V 50.94 V.upf
Hg 200.59 Hg.upf
N 14.01 N.upf
CELL_PARAMETERS angstrom
3.014 0.000 0.000
-1.507 2.611 0.000
0.000 0.000 20.152
ATOMIC_POSITIONS crystal
V 0.000 0.000 0.217
V 0.000 0.000 0.783
V 0.333 0.667 0.450
V 0.333 0.667 0.883
V 0.667 0.333 0.117
V 0.667 0.333 0.550
Hg 0.000 0.000 0.000
Hg 0.333 0.667 0.667
Hg 0.667 0.333 0.333
N 0.000 0.000 0.500
N 0.333 0.667 0.167
N 0.667 0.333 0.833
```

Values from the calculation:
ΔE_f (raw)   -52.5 kJ/mol of atoms
DOS at the Fermi energy   10.28 states/eV per cell
ΔE to the lowest computed polymorph   0.0 meV/atom
Volume   53 Å³/f.u.
Total magnetization   0.0000 μB/atom

***

2.
First-principles (PBE) data for an optimized crystal structure of VHgN3, as listed in Alexandria. Values from VASP.

Structure (Quantum ESPRESSO input):
```
&SYSTEM
  ibrav = 0, nat = 5, ntyp = 3
/
ATOMIC_SPECIES
V 50.94 V.upf
Hg 200.59 Hg.upf
N 14.01 N.upf
CELL_PARAMETERS angstrom
4.168 0.000 0.000
0.000 4.168 0.000
0.000 0.000 4.168
ATOMIC_POSITIONS crystal
V 0.000 0.000 0.000
Hg 0.500 0.500 0.500
N 0.000 0.500 0.500
N 0.500 0.000 0.500
N 0.500 0.500 0.000
```

Values from the calculation:
ΔE_f (raw)   239.3 kJ/mol of atoms
DOS at the Fermi energy   4.43 states/eV per cell
Volume   72 Å³/f.u.
Total magnetization   0.0129 μB/atom